(A)
# HoPuGa2, optimized geometry, DFT PBE-GGA
# Total magnetization ... 5.543 μB per formula unit
data_HoPuGa2
_chemical_formula_sum 'Ho3 Pu3 Ga6'
_cell_length_a 3.5215
_cell_length_b 3.5215
_cell_length_c 27.3670
_cell_angle_alpha 90.00
_cell_angle_beta 90.00
_cell_angle_gamma 120.00
_space_group_name_H-M_alt 'R -3 m'
_space_group_IT_number 166
_space_group_name_Hall '-R 3 2"'
loop_
_atom_site_label
_atom_site_type_symbol
_atom_site_fract_x
_atom_site_fract_y
_atom_site_fract_z
Ho1 Ho 0.0000 0.0000 0.0000
Pu1 Pu 0.0000 0.0000 0.5000
Ga1 Ga 0.0000 0.0000 0.2516

=====

(B)
# HoPuGa2, optimized geometry, DFT PBE-GGA
# Total magnetization ... 5.361 μB per formula unit
data_HoPuGa2
_chemical_formula_sum 'Ho1 Pu1 Ga2'
_cell_length_a 3.2705
_cell_length_b 3.2705
_cell_length_c 8.3318
_cell_angle_alpha 90.00
_cell_angle_beta 90.00
_cell_angle_gamma 90.00
_space_group_name_H-M_alt 'P 4/m m m'
_space_group_IT_number 123
_space_group_name_Hall '-P 4 2'
loop_
_atom_site_label
_atom_site_type_symbol
_atom_site_fract_x
_atom_site_fract_y
_atom_site_fract_z
Ho1 Ho 0.0000 0.0000 0.0000
Pu1 Pu 0.0000 0.0000 0.5000
Ga1 Ga 0.5000 0.5000 0.2467

=====

Here are the energies relative to the best structure, in meV per atom: (A) 184; (B) 0.

=====

(A)
# Ho4GaRh, optimized geometry, DFT PBE-GGA
# Total magnetization ... 0.000 μB per formula unit
data_Ho4GaRh
_chemical_formula_sum 'Ho16 Ga4 Rh4'
_cell_length_a 8.8465
_cell_length_b 13.2237
_cell_length_c 6.0443
_cell_angle_alpha 90.00
_cell_angle_beta 119.23
_cell_angle_gamma 90.00
_space_group_name_H-M_alt 'C 1 2/c 1'
_space_group_IT_number 15
loop_
_space_group_symop_operation_xyz
'x,y,z'
'-x,-y,-z'
'-x,y,-z+1/2'
'x,-y,z+1/2'
'x+1/2,y+1/2,z'
'-x+1/2,-y+1/2,-z'
'-x+1/2,y+1/2,-z+1/2'
'x+1/2,-y+1/2,z+1/2'
loop_
_atom_site_label
_atom_site_type_symbol
_atom_site_fract_x
_atom_site_fract_y
_atom_site_fract_z
Ho1 Ho 0.1221 0.1806 0.0900
Ho2 Ho 0.2084 0.4337 0.3048
Ga1 Ga 0.0000 0.3691 0.7500
Rh1 Rh 0.0000 0.0000 0.2500

=====

(B)
# Ho4GaRh, optimized geometry, DFT PBE-GGA
# Total magnetization ... 0.000 μB per formula unit
data_Ho4GaRh
_chemical_formula_sum 'Ho64 Ga16 Rh16'
_cell_length_a 13.3542
_cell_length_b 13.3542
_cell_length_c 13.3542
_cell_angle_alpha 90.00
_cell_angle_beta 90.00
_cell_angle_gamma 90.00
_space_group_name_H-M_alt 'F -4 3 m'
_space_group_IT_number 216
_space_group_name_Hall 'F -4 2 3'
loop_
_atom_site_label
_atom_site_type_symbol
_atom_site_fract_x
_atom_site_fract_y
_atom_site_fract_z
Ho1 Ho 0.0000 0.0000 0.1872
Ho2 Ho 0.0572 0.2500 0.7500
Ho3 Ho 0.1052 0.1052 0.3948
Ga1 Ga 0.1676 0.1676 0.1676
Rh1 Rh 0.1063 0.1063 0.6063

=====

Here are the energies relative to the best structure, in meV per atom: (A) 53; (B) 0.

=====

(A)
# Ho2Ga5Rh3, optimized geometry, DFT PBE-GGA
# Total magnetization ... 0.000 μB per formula unit
data_Ho2Ga5Rh3
_chemical_formula_sum 'Ho8 Ga20 Rh12'
_cell_length_a 9.8367
_cell_length_b 12.8861
_cell_length_c 5.6459
_cell_angle_alpha 90.00
_cell_angle_beta 90.00
_cell_angle_gamma 90.00
_space_group_name_H-M_alt 'I b a m'
_space_group_IT_number 72
_space_group_name_Hall '-I 2 2c'
loop_
_atom_site_label
_atom_site_type_symbol
_atom_site_fract_x
_atom_site_fract_y
_atom_site_fract_z
Ho1 Ho 0.2255 0.1435 0.0000
Ga1 Ga 0.0000 0.0000 0.2500
Ga2 Ga 0.0000 0.2996 0.2500
Ga3 Ga 0.1807 0.4150 0.0000
Rh1 Rh 0.0000 0.5000 0.2500
Rh2 Rh 0.0852 0.1515 0.5000

=====

(B)
# Ho2Ga5Rh3, optimized geometry, DFT PBE-GGA
# Total magnetization ... 0.000 μB per formula unit
data_Ho2Ga5Rh3
_chemical_formula_sum 'Ho8 Ga20 Rh12'
_cell_length_a 4.2895
_cell_length_b 24.3926
_cell_length_c 6.7905
_cell_angle_alpha 90.00
_cell_angle_beta 90.00
_cell_angle_gamma 90.00
_space_group_name_H-M_alt 'C m c 21'
_space_group_IT_number 36
loop_
_space_group_symop_operation_xyz
'x,y,z'
'-x,-y,z+1/2'
'-x,y,z'
'x,-y,z+1/2'
'x+1/2,y+1/2,z'
'-x+1/2,-y+1/2,z+1/2'
'-x+1/2,y+1/2,z'
'x+1/2,-y+1/2,z+1/2'
loop_
_atom_site_label
_atom_site_type_symbol
_atom_site_fract_x
_atom_site_fract_y
_atom_site_fract_z
Ho1 Ho 0.0000 0.0217 0.0000
Ho2 Ho 0.0000 0.3239 0.0689
Ga1 Ga 0.0000 0.1017 0.3643
Ga2 Ga 0.0000 0.2053 0.8838
Ga3 Ga 0.0000 0.2096 0.2803
Ga4 Ga 0.0000 0.3744 0.5149
Ga5 Ga 0.0000 0.4480 0.1741
Rh1 Rh 0.0000 0.1080 0.7467
Rh2 Rh 0.0000 0.2717 0.5859
Rh3 Rh 0.0000 0.4501 0.7862

=====

Here are the energies relative to the best structure, in meV per atom: (A) 0; (B) 54.

=====

(A)
# SmHoGaRh, optimized geometry, DFT PBE-GGA
# Total magnetization ... 0.000 μB per formula unit
data_SmHoGaRh
_chemical_formula_sum 'Sm4 Ho4 Ga4 Rh4'
_cell_length_a 7.0788
_cell_length_b 7.0788
_cell_length_c 7.0788
_cell_angle_alpha 90.00
_cell_angle_beta 90.00
_cell_angle_gamma 90.00
_space_group_name_H-M_alt 'F -4 3 m'
_space_group_IT_number 216
_space_group_name_Hall 'F -4 2 3'
loop_
_atom_site_label
_atom_site_type_symbol
_atom_site_fract_x
_atom_site_fract_y
_atom_site_fract_z
Sm1 Sm 0.0000 0.0000 0.0000
Ho1 Ho 0.0000 0.0000 0.5000
Ga1 Ga 0.2500 0.2500 0.2500
Rh1 Rh 0.2500 0.2500 0.7500

=====

(B)
# SmHoGaRh, optimized geometry, DFT PBE-GGA
# Total magnetization ... 0.000 μB per formula unit
data_SmHoGaRh
_chemical_formula_sum 'Sm2 Ho2 Ga2 Rh2'
_cell_length_a 3.9511
_cell_length_b 4.2794
_cell_length_c 10.9528
_cell_angle_alpha 90.00
_cell_angle_beta 90.00
_cell_angle_gamma 90.00
_space_group_name_H-M_alt 'A m m 2'
_space_group_IT_number 38
loop_
_space_group_symop_operation_xyz
'x,y,z'
'-x,-y,z'
'-x,y,z'
'x,-y,z'
'x,y+1/2,z+1/2'
'-x,-y+1/2,z+1/2'
'-x,y+1/2,z+1/2'
'x,-y+1/2,z+1/2'
loop_
_atom_site_label
_atom_site_type_symbol
_atom_site_fract_x
_atom_site_fract_y
_atom_site_fract_z
Sm1 Sm 0.0000 0.0000 0.0000
Ho1 Ho 0.5000 0.0000 0.2857
Ga1 Ga 0.5000 0.0000 0.5839
Rh1 Rh 0.0000 0.0000 0.7375

=====

Here are the energies relative to the best structure, in meV per atom: (A) 76; (B) 0.

=====

(A)
# HoTmGaRh, optimized geometry, DFT PBE-GGA
# Total magnetization ... 0.000 μB per formula unit
data_HoTmGaRh
_chemical_formula_sum 'Ho4 Tm4 Ga4 Rh4'
_cell_length_a 6.9534
_cell_length_b 6.9534
_cell_length_c 6.9534
_cell_angle_alpha 90.00
_cell_angle_beta 90.00
_cell_angle_gamma 90.00
_space_group_name_H-M_alt 'F -4 3 m'
_space_group_IT_number 216
_space_group_name_Hall 'F -4 2 3'
loop_
_atom_site_label
_atom_site_type_symbol
_atom_site_fract_x
_atom_site_fract_y
_atom_site_fract_z
Ho1 Ho 0.0000 0.0000 0.0000
Tm1 Tm 0.0000 0.0000 0.5000
Ga1 Ga 0.2500 0.2500 0.7500
Rh1 Rh 0.2500 0.2500 0.2500

=====

(B)
# HoTmGaRh, optimized geometry, DFT PBE-GGA
# Total magnetization ... 0.000 μB per formula unit
data_HoTmGaRh
_chemical_formula_sum 'Ho2 Tm2 Ga2 Rh2'
_cell_length_a 4.3243
_cell_length_b 3.8258
_cell_length_c 10.6060
_cell_angle_alpha 90.00
_cell_angle_beta 90.00
_cell_angle_gamma 90.00
_space_group_name_H-M_alt 'A m m 2'
_space_group_IT_number 38
loop_
_space_group_symop_operation_xyz
'x,y,z'
'-x,-y,z'
'-x,y,z'
'x,-y,z'
'x,y+1/2,z+1/2'
'-x,-y+1/2,z+1/2'
'-x,y+1/2,z+1/2'
'x,-y+1/2,z+1/2'
loop_
_atom_site_label
_atom_site_type_symbol
_atom_site_fract_x
_atom_site_fract_y
_atom_site_fract_z
Ho1 Ho 0.0000 0.0000 0.0000
Tm1 Tm 0.5000 0.0000 0.7174
Ga1 Ga 0.0000 0.0000 0.2852
Rh1 Rh 0.5000 0.0000 0.4323

=====

Here are the energies relative to the best structure, in meV per atom: (A) 40; (B) 0.

=====

(A)
# Ho4GaRu2, optimized geometry, DFT PBE-GGA
# Total magnetization ... 0.000 μB per formula unit
data_Ho4GaRu2
_chemical_formula_sum 'Ho16 Ga4 Ru8'
_cell_length_a 8.6013
_cell_length_b 13.1347
_cell_length_c 6.4562
_cell_angle_alpha 90.00
_cell_angle_beta 118.69
_cell_angle_gamma 90.00
_space_group_name_H-M_alt 'C 1 c 1'
_space_group_IT_number 9
loop_
_space_group_symop_operation_xyz
'x,y,z'
'x,-y,z+1/2'
'x+1/2,y+1/2,z'
'x+1/2,-y+1/2,z+1/2'
loop_
_atom_site_label
_atom_site_type_symbol
_atom_site_fract_x
_atom_site_fract_y
_atom_site_fract_z
Ho1 Ho 0.0000 0.0420 0.0000
Ho2 Ho 0.1290 0.3145 0.1540
Ho3 Ho 0.3107 0.3210 0.7763
Ho4 Ho 0.4050 0.0813 0.0531
Ga1 Ga 0.2244 0.1300 0.5059
Ru1 Ru 0.0385 0.1928 0.7391
Ru2 Ru 0.1905 0.4988 0.4869

=====

(B)
# Ho4GaRu2, optimized geometry, DFT PBE-GGA
# Total magnetization ... 0.000 μB per formula unit
data_Ho4GaRu2
_chemical_formula_sum 'Ho12 Ga3 Ru6'
_cell_length_a 4.8532
_cell_length_b 4.8532
_cell_length_c 23.3995
_cell_angle_alpha 90.00
_cell_angle_beta 90.00
_cell_angle_gamma 120.00
_space_group_name_H-M_alt 'R -3 m'
_space_group_IT_number 166
_space_group_name_Hall '-R 3 2"'
loop_
_atom_site_label
_atom_site_type_symbol
_atom_site_fract_x
_atom_site_fract_y
_atom_site_fract_z
Ho1 Ho 0.0000 0.0000 0.1186
Ho2 Ho 0.0000 0.0000 0.3707
Ga1 Ga 0.0000 0.0000 0.5000
Ru1 Ru 0.0000 0.0000 0.2464

=====

Here are the energies relative to the best structure, in meV per atom: (A) 6; (B) 0.

=====

(A)
# Ho3GaRu, optimized geometry, DFT PBE-GGA
# Total magnetization ... 0.000 μB per formula unit
data_Ho3GaRu
_chemical_formula_sum 'Ho24 Ga8 Ru8'
_cell_length_a 6.3822
_cell_length_b 9.4023
_cell_length_c 15.7521
_cell_angle_alpha 90.00
_cell_angle_beta 90.00
_cell_angle_gamma 90.00
_space_group_name_H-M_alt 'F m m m'
_space_group_IT_number 69
_space_group_name_Hall '-F 2 2'
loop_
_atom_site_label
_atom_site_type_symbol
_atom_site_fract_x
_atom_site_fract_y
_atom_site_fract_z
Ho1 Ho 0.0000 0.0000 0.1953
Ho2 Ho 0.0000 0.1842 0.3933
Ga1 Ga 0.1952 0.0000 0.0000
Ru1 Ru 0.2500 0.2500 0.2500

=====

(B)
# Ho3GaRu, optimized geometry, DFT PBE-GGA
# Total magnetization ... 0.000 μB per formula unit
data_Ho3GaRu
_chemical_formula_sum 'Ho6 Ga2 Ru2'
_cell_length_a 4.5883
_cell_length_b 6.6956
_cell_length_c 8.2019
_cell_angle_alpha 90.00
_cell_angle_beta 90.00
_cell_angle_gamma 90.00
_space_group_name_H-M_alt 'P m m n'
_space_group_IT_number 59
loop_
_space_group_symop_operation_xyz
'x,y,z'
'-x,-y,-z'
'-x+1/2,-y+1/2,z'
'x+1/2,y+1/2,-z'
'x+1/2,-y,-z'
'-x+1/2,y,z'
'-x,y+1/2,-z'
'x,-y+1/2,z'
loop_
_atom_site_label
_atom_site_type_symbol
_atom_site_fract_x
_atom_site_fract_y
_atom_site_fract_z
Ho1 Ho 0.2500 0.0011 0.1604
Ho2 Ho 0.2500 0.2500 0.5561
Ga1 Ga 0.2500 0.7500 0.6804
Ru1 Ru 0.2500 0.2500 0.8822

=====

Here are the energies relative to the best structure, in meV per atom: (A) 0; (B) 124.

=====

(A)
# Ho2Ga2Ru, optimized geometry, DFT PBE-GGA
# Total magnetization ... 0.000 μB per formula unit
data_Ho2Ga2Ru
_chemical_formula_sum 'Ho8 Ga8 Ru4'
_cell_length_a 10.8581
_cell_length_b 4.1487
_cell_length_c 10.4968
_cell_angle_alpha 90.00
_cell_angle_beta 116.91
_cell_angle_gamma 90.00
_space_group_name_H-M_alt 'C 1 2/m 1'
_space_group_IT_number 12
loop_
_space_group_symop_operation_xyz
'x,y,z'
'-x,-y,-z'
'-x,y,-z'
'x,-y,z'
'x+1/2,y+1/2,z'
'-x+1/2,-y+1/2,-z'
'-x+1/2,y+1/2,-z'
'x+1/2,-y+1/2,z'
loop_
_atom_site_label
_atom_site_type_symbol
_atom_site_fract_x
_atom_site_fract_y
_atom_site_fract_z
Ho1 Ho 0.0084 0.0000 0.3297
Ho2 Ho 0.1921 0.0000 0.1202
Ga1 Ga 0.0177 0.5000 0.8857
Ga2 Ga 0.1438 0.5000 0.5593
Ru1 Ru 0.2168 0.5000 0.3547

=====

(B)
# Ho2Ga2Ru, optimized geometry, DFT PBE-GGA
# Total magnetization ... 0.000 μB per formula unit
data_Ho2Ga2Ru
_chemical_formula_sum 'Ho8 Ga8 Ru4'
_cell_length_a 4.4363
_cell_length_b 13.7166
_cell_length_c 7.4179
_cell_angle_alpha 90.00
_cell_angle_beta 90.00
_cell_angle_gamma 90.00
_space_group_name_H-M_alt 'C m c 21'
_space_group_IT_number 36
loop_
_space_group_symop_operation_xyz
'x,y,z'
'-x,-y,z+1/2'
'-x,y,z'
'x,-y,z+1/2'
'x+1/2,y+1/2,z'
'-x+1/2,-y+1/2,z+1/2'
'-x+1/2,y+1/2,z'
'x+1/2,-y+1/2,z+1/2'
loop_
_atom_site_label
_atom_site_type_symbol
_atom_site_fract_x
_atom_site_fract_y
_atom_site_fract_z
Ho1 Ho 0.0000 0.0249 0.0000
Ho2 Ho 0.0000 0.2394 0.3553
Ga1 Ga 0.0000 0.1603 0.7043
Ga2 Ga 0.0000 0.4156 0.7856
Ru1 Ru 0.0000 0.4120 0.1383

=====

Here are the energies relative to the best structure, in meV per atom: (A) 0; (B) 176.